DFT (PBE) results for crystalline CeFeBi at its relaxed geometry.

It has space group I4/mmm (No. 139), with a = 3.4785 Å, b = 3.4785 Å, c = 25.5821 Å, α = 90.00°, β = 90.00° and γ = 90.00°. The asymmetric unit holds Ce at (0.0000, 0.0000, 0.1699), Fe at (0.0000, 0.0000, 0.2563) and Bi at (0.0000, 0.0000, 0.4272).

Its total energy is -6.17 eV/atom. As for the formation enthalpy at 0 K: -22 kJ/mol of formula units. As for the total magnetization: 0.211 μB/atom.

DFT (PBE) results for crystalline Co2HIrRu at its relaxed geometry.

It has space group P4/mmm (No. 123), with a = 3.7468 Å, b = 3.7468 Å, c = 3.7074 Å, α = 90.00°, β = 90.00° and γ = 90.00°. The asymmetric unit holds Co at (0.0000, 0.5000, 0.0000), H at (0.0000, 0.0000, 0.0000), Ir at (0.5000, 0.5000, 0.5000) and Ru at (0.0000, 0.0000, 0.5000).

The distance to the lowest polymorph of the same formula is 0.00 eV per formula unit. Its total energy is -7.03 eV/atom. As for the total magnetization: 0.406 μB/atom.

DFT (PBE) results for crystalline Hf3GaCo3 at its relaxed geometry.

It has space group Cmcm (No. 63), with a = 3.9627 Å, b = 9.1534 Å, c = 12.1643 Å, α = 90.00°, β = 90.00° and γ = 90.00°. The asymmetric unit holds Hf at (0.0000, 0.0137, 0.2500), Hf at (0.0000, 0.2974, 0.1064), Ga at (0.0000, 0.0000, 0.0000), Co at (0.0000, 0.2596, 0.7500) and Co at (0.0000, 0.4097, 0.5942).

Its total energy is -8.20 eV/atom. As for the formation enthalpy at 0 K: -309 kJ/mol of formula units. As for the total magnetization: 0.000 μB/atom.